# GGA-PBE AcNdTeIr, optimized geometry
data_AcNdTeIr
_chemical_formula_sum 'Ac1 Nd1 Te1 Ir1'
_space_group_name_H-M_alt 'P 1'
_space_group_IT_number 1
_cell_length_a 4.3548
_cell_length_b 4.3548
_cell_length_c 8.1291
_cell_angle_alpha 105.59
_cell_angle_beta 105.59
_cell_angle_gamma 59.96
loop_
_space_group_symop_operation_xyz
'x,y,z'
loop_
_atom_site_label
_atom_site_fract_x
_atom_site_fract_y
_atom_site_fract_z
Ac1 0.0000 0.0000 0.0000
Nd1 0.8046 0.8046 0.4137
Te1 0.5629 0.5629 0.6878
Ir1 0.4057 0.4057 0.2167
# uncorrected formation energy = -1027 meV/atom
# volume = 126.9 Å³/f.u.

# GGA-PBE LiYC, optimized geometry
data_LiYC
_chemical_formula_sum 'Li2 Y2 C2'
_space_group_name_H-M_alt 'P 1'
_space_group_IT_number 1
_cell_length_a 5.8155
_cell_length_b 5.8155
_cell_length_c 6.1413
_cell_angle_alpha 120.10
_cell_angle_beta 120.10
_cell_angle_gamma 35.04
loop_
_space_group_symop_operation_xyz
'x,y,z'
loop_
_atom_site_label
_atom_site_fract_x
_atom_site_fract_y
_atom_site_fract_z
Li1 0.0000 0.0000 0.0000
Li2 0.5303 0.5303 0.3005
Y1 0.3321 0.3321 0.4844
Y2 0.7051 0.7051 0.8854
C1 0.0365 0.0365 0.5426
C2 0.9195 0.9195 0.2994
# energy of formation = -0.035 eV per atom
# volume = 50.7 Å³/f.u.

# GGA-PBE Pm2SmTl, optimized geometry
data_Pm2SmTl
_chemical_formula_sum 'Pm2 Sm1 Tl1'
_space_group_name_H-M_alt 'P 1'
_space_group_IT_number 1
_cell_length_a 12.5242
_cell_length_b 12.5242
_cell_length_c 12.5242
_cell_angle_alpha 16.57
_cell_angle_beta 16.57
_cell_angle_gamma 16.57
loop_
_space_group_symop_operation_xyz
'x,y,z'
loop_
_atom_site_label
_atom_site_fract_x
_atom_site_fract_y
_atom_site_fract_z
Pm1 0.0883 0.0883 0.0883
Pm2 0.9117 0.9117 0.9117
Sm1 0.5000 0.5000 0.5000
Tl1 0.0000 0.0000 0.0000
# energy of formation = 0.084 eV per atom
# volume = 139.3 Å³/f.u.

# GGA-PBE As8P, optimized geometry
data_As8P
_chemical_formula_sum 'As8 P1'
_space_group_name_H-M_alt 'P 1'
_space_group_IT_number 1
_cell_length_a 6.3318
_cell_length_b 6.3318
_cell_length_c 6.3318
_cell_angle_alpha 100.25
_cell_angle_beta 100.25
_cell_angle_gamma 130.11
loop_
_space_group_symop_operation_xyz
'x,y,z'
loop_
_atom_site_label
_atom_site_fract_x
_atom_site_fract_y
_atom_site_fract_z
As1 0.0000 0.3189 0.3189
As2 0.0000 0.6811 0.6811
As3 0.3189 0.0000 0.3189
As4 0.3305 0.3305 0.6611
As5 0.3305 0.6695 0.0000
As6 0.6695 0.3305 0.0000
As7 0.6695 0.6695 0.3389
As8 0.6811 0.0000 0.6811
P1 0.0000 0.0000 0.0000
# energy of formation = 0.505 eV per atom
# volume = 176.0 Å³/f.u.

# GGA-PBE YZn2Cl, optimized geometry
data_YZn2Cl
_chemical_formula_sum 'Y1 Zn2 Cl1'
_space_group_name_H-M_alt 'P 1'
_space_group_IT_number 1
_cell_length_a 8.8624
_cell_length_b 8.8624
_cell_length_c 8.8624
_cell_angle_alpha 22.68
_cell_angle_beta 22.68
_cell_angle_gamma 22.68
loop_
_space_group_symop_operation_xyz
'x,y,z'
loop_
_atom_site_label
_atom_site_fract_x
_atom_site_fract_y
_atom_site_fract_z
Y1 0.0000 0.0000 0.0000
Zn1 0.2419 0.2419 0.2419
Zn2 0.7581 0.7581 0.7581
Cl1 0.5000 0.5000 0.5000
# uncorrected formation energy = -286 meV/atom
# volume = 90.8 Å³/f.u.

# GGA-PBE KZnCd2, optimized geometry
data_KZnCd2
_chemical_formula_sum 'K1 Zn1 Cd2'
_space_group_name_H-M_alt 'P 1'
_space_group_IT_number 1
_cell_length_a 5.9196
_cell_length_b 5.9196
_cell_length_c 5.9196
_cell_angle_alpha 131.93
_cell_angle_beta 131.93
_cell_angle_gamma 70.35
loop_
_space_group_symop_operation_xyz
'x,y,z'
loop_
_atom_site_label
_atom_site_fract_x
_atom_site_fract_y
_atom_site_fract_z
K1 0.0000 0.0000 0.0000
Zn1 0.5000 0.5000 0.0000
Cd1 0.2500 0.7500 0.5000
Cd2 0.7500 0.2500 0.5000
# energy of formation = 0.127 eV per atom
# volume = 112.5 Å³/f.u.

# GGA-PBE Ac13La2, optimized geometry
data_Ac13La2
_chemical_formula_sum 'Ac13 La2'
_space_group_name_H-M_alt 'P 1'
_space_group_IT_number 1
_cell_length_a 7.3739
_cell_length_b 9.9450
_cell_length_c 9.9491
_cell_angle_alpha 66.50
_cell_angle_beta 82.28
_cell_angle_gamma 82.29
loop_
_space_group_symop_operation_xyz
'x,y,z'
loop_
_atom_site_label
_atom_site_fract_x
_atom_site_fract_y
_atom_site_fract_z
Ac1 0.0000 0.0000 0.0000
Ac2 0.0969 0.4381 0.7547
Ac3 0.2041 0.2021 0.1964
Ac4 0.2875 0.9728 0.6253
Ac5 0.2969 0.6351 0.9640
Ac6 0.4035 0.4001 0.3991
Ac7 0.4945 0.8334 0.1724
Ac8 0.5055 0.1666 0.8276
Ac9 0.5965 0.5999 0.6009
Ac10 0.7031 0.3649 0.0360
Ac11 0.7125 0.0272 0.3747
Ac12 0.7959 0.7979 0.8036
Ac13 0.9031 0.5619 0.2453
La1 0.1010 0.7680 0.4318
La2 0.8990 0.2320 0.5682
# energy of formation = 0.057 eV per atom
# volume = 660.4 Å³/f.u.

# GGA-PBE NpTl3Sb3Se8, optimized geometry
data_NpTl3Sb3Se8
_chemical_formula_sum 'Np1 Tl3 Sb3 Se8'
_space_group_name_H-M_alt 'P 1'
_space_group_IT_number 1
_cell_length_a 9.0836
_cell_length_b 9.0836
_cell_length_c 9.0836
_cell_angle_alpha 54.96
_cell_angle_beta 54.96
_cell_angle_gamma 54.96
loop_
_space_group_symop_operation_xyz
'x,y,z'
loop_
_atom_site_label
_atom_site_fract_x
_atom_site_fract_y
_atom_site_fract_z
Np1 0.0000 0.0000 0.0000
Tl1 0.0000 0.0000 0.5000
Tl2 0.0000 0.5000 0.0000
Tl3 0.5000 0.0000 0.0000
Sb1 0.0000 0.5000 0.5000
Sb2 0.5000 0.0000 0.5000
Sb3 0.5000 0.5000 0.0000
Se1 0.2316 0.2316 0.7411
Se2 0.2316 0.7411 0.2316
Se3 0.2589 0.7684 0.7684
Se4 0.2630 0.2630 0.2630
Se5 0.7370 0.7370 0.7370
Se6 0.7411 0.2316 0.2316
Se7 0.7684 0.2589 0.7684
Se8 0.7684 0.7684 0.2589
# uncorrected formation energy = -505 meV/atom
# volume = 467.8 Å³/f.u.

# GGA-PBE ScMnVI2, optimized geometry
data_ScMnVI2
_chemical_formula_sum 'Sc1 Mn1 V1 I2'
_space_group_name_H-M_alt 'P 1'
_space_group_IT_number 1
_cell_length_a 5.1324
_cell_length_b 5.1324
_cell_length_c 4.5192
_cell_angle_alpha 90.00
_cell_angle_beta 90.00
_cell_angle_gamma 90.00
loop_
_space_group_symop_operation_xyz
'x,y,z'
loop_
_atom_site_label
_atom_site_fract_x
_atom_site_fract_y
_atom_site_fract_z
Sc1 0.0000 0.0000 0.0000
Mn1 0.0000 0.0000 0.5000
V1 0.5000 0.5000 0.0000
I1 0.0000 0.5000 0.5000
I2 0.5000 0.0000 0.5000
# uncorrected formation energy = 1110 meV/atom
# volume = 119.0 Å³/f.u.

# GGA-PBE Cs3TiTe3, optimized geometry
data_Cs3TiTe3
_chemical_formula_sum 'Cs6 Ti2 Te6'
_space_group_name_H-M_alt 'P 1'
_space_group_IT_number 1
_cell_length_a 9.0725
_cell_length_b 9.0725
_cell_length_c 9.4024
_cell_angle_alpha 99.45
_cell_angle_beta 99.45
_cell_angle_gamma 113.44
loop_
_space_group_symop_operation_xyz
'x,y,z'
loop_
_atom_site_label
_atom_site_fract_x
_atom_site_fract_y
_atom_site_fract_z
Cs1 0.1722 0.8278 0.0000
Cs2 0.2823 0.7177 0.5000
Cs3 0.3903 0.3903 0.1353
Cs4 0.6097 0.6097 0.8647
Cs5 0.7177 0.2823 0.5000
Cs6 0.8278 0.1722 0.0000
Ti1 0.1365 0.1365 0.6331
Ti2 0.8635 0.8635 0.3669
Te1 0.1270 0.1270 0.3443
Te2 0.1327 0.4168 0.7717
Te3 0.4168 0.1327 0.7717
Te4 0.5832 0.8673 0.2283
Te5 0.8673 0.5832 0.2283
Te6 0.8730 0.8730 0.6557
# uncorrected formation energy = -981 meV/atom
# volume = 338.8 Å³/f.u.

# GGA-PBE NaCdPt3, optimized geometry
data_NaCdPt3
_chemical_formula_sum 'Na1 Cd1 Pt3'
_space_group_name_H-M_alt 'P 1'
_space_group_IT_number 1
_cell_length_a 5.0378
_cell_length_b 5.0378
_cell_length_c 5.0378
_cell_angle_alpha 90.00
_cell_angle_beta 90.00
_cell_angle_gamma 90.00
loop_
_space_group_symop_operation_xyz
'x,y,z'
loop_
_atom_site_label
_atom_site_fract_x
_atom_site_fract_y
_atom_site_fract_z
Na1 0.0000 0.0000 0.0000
Cd1 0.5000 0.5000 0.5000
Pt1 0.0000 0.5000 0.5000
Pt2 0.5000 0.0000 0.5000
Pt3 0.5000 0.5000 0.0000
# energy of formation = 0.890 eV per atom
# volume = 127.9 Å³/f.u.

# GGA-PBE CdS3F, optimized geometry
data_CdS3F
_chemical_formula_sum 'Cd1 S3 F1'
_space_group_name_H-M_alt 'P 1'
_space_group_IT_number 1
_cell_length_a 4.4563
_cell_length_b 4.4563
_cell_length_c 4.4563
_cell_angle_alpha 90.00
_cell_angle_beta 90.00
_cell_angle_gamma 90.00
loop_
_space_group_symop_operation_xyz
'x,y,z'
loop_
_atom_site_label
_atom_site_fract_x
_atom_site_fract_y
_atom_site_fract_z
Cd1 0.0000 0.0000 0.0000
S1 0.0000 0.5000 0.5000
S2 0.5000 0.0000 0.5000
S3 0.5000 0.5000 0.0000
F1 0.5000 0.5000 0.5000
# uncorrected formation energy = 632 meV/atom
# volume = 88.5 Å³/f.u.

Q: Look up the volume of the tenth one.
A: 338.8 Å³/f.u.

Q: Which of these has the lowest volume?
A: LiYC

Q: Which value of volume does entry 12 give?
A: 88.5 Å³/f.u.